CdPRh2: optimized geometry, PBE-GGA.

Geometry as POSCAR:
```
CdPRh2
1.0
2.905 0.000 0.000
0.000 3.663 0.000
0.000 0.000 6.173
Cd P Rh
1 1 2
direct
0.000 0.000 0.476
0.500 0.500 0.852
0.000 0.000 0.950
0.500 0.500 0.222
```

Properties
space group	No. 25
energy of formation from the pure elements	-170.8	meV/atom
polymorph energy (0 for the lowest one)	248	meV/atom